Ce2ZnSi3Ni4: optimized geometry, PBE.

Summary:
- ΔE_f (raw) (eV per formula unit) = -7.07

Geometry as extended XYZ:
```
10
Lattice="-3.1324 -1.8263 1.7663 1.7346 -3.5860 -0.6315 4.4305 0.6423 8.5215" Properties=species:S:1:pos:R:3 pbc="T T T"
Ce -0.4758 -0.7550 2.9804
Ce 4.2074 -1.3088 6.1085
Zn 1.5163 -2.3850 4.8281
Si 2.2152 0.3212 4.2607
Si 2.3134 -0.3507 8.3451
Si 1.4182 -1.7131 0.7438
Ni -0.6989 -2.7061 0.5674
Ni 0.0000 0.0000 0.0000
Ni 1.2470 -0.5053 6.2940
Ni 2.4846 -1.5585 2.7949
```


BeHgPt3: optimized geometry, PBE.

Summary:
- formation energy from the elements (kJ/mol of atoms) = 10.6
- energy above the most stable polymorph in this dataset (meV per atom) = 414

Geometry as extended XYZ:
```
10
Lattice="2.6165 -6.6359 0.0000 2.6165 6.6359 0.0000 0.0000 0.0000 5.2310" Properties=species:S:1:pos:R:3 pbc="T T T"
Be 2.6165 4.7308 1.3078
Be 2.6165 -4.7308 3.9233
Hg 2.6165 0.5117 1.3078
Hg 2.6165 -0.5117 3.9233
Pt 3.9620 2.9838 1.3078
Pt 1.2709 2.9838 1.3078
Pt 3.9620 -2.9838 3.9233
Pt 1.2709 -2.9838 3.9233
Pt 0.0000 0.0000 0.0000
Pt 0.0000 0.0000 2.6155
```


Quick rundown of DOS at the Fermi energy, same order as above: 1.020 0.608 states/eV per atom